Density functional theory data (PBE-GGA) for OsPtCl after structural relaxation.

Cell lengths 7.054, 7.054, 7.054 Å; angles 156.16, 156.16, 33.97 degrees
Atoms (fractional coordinates):
Pt 0.711 0.711 0.000
Os 0.330 0.330 0.000
Cl 0.959 0.959 0.000

symmetry	No. 107
M_tot	0.00	μB per atom
formation energy from raw total energies	0.74	eV per atom
energy relative to the lowest polymorph listed for this composition	0.334	eV/f.u.
energy	-5.63	eV per atom